one | The following is a DFT calculation (PBE-GGA) of a relaxed structure of BaSrCaTl.

Properties
Crystal system = tetragonal

Cell lengths 4.1642, 4.1642, 10.1164 Å; angles 89.99, 90.01, 90.00 degrees
Fractional positions:
Ba1 0.6459 0.3541 0.0315
Sr1 0.1466 0.8534 0.6906
Ca1 0.6463 0.3537 0.4092
Tl1 0.1461 0.8539 0.2576


two | The following is a DFT calculation (PBE-GGA) of a relaxed structure of BaSrCaTl.

Properties
Crystal system = cubic

Cell lengths 6.1593, 6.1593, 6.1593 Å; angles 60.00, 60.00, 60.00 degrees
Fractional positions:
Sr1 0.2500 0.2500 0.2500
Tl1 0.0000 0.0000 0.0000
Ca1 0.5000 0.5000 0.5000
Ba1 0.7500 0.7500 0.7500


Which one is most stable, and which one is least stable? one is the most stable of them, while two is the least stable.


one | The following is a DFT calculation (PBE-GGA) of a relaxed structure of BaSr2CaTl.

Properties
Crystal system = tetragonal

Cell lengths 6.4895, 6.4895, 6.1905 Å; angles 90.00, 90.00, 90.00 degrees
Fractional positions:
Sr1 0.0000 0.5000 0.0000
Sr2 0.5000 0.0000 0.0000
Tl1 0.0000 0.0000 0.0000
Ca1 0.0000 0.0000 0.5000
Ba1 0.5000 0.5000 0.5000


two | The following is a DFT calculation (PBE-GGA) of a relaxed structure of BaSr2CaTl.

Properties
Crystal system = tetragonal

Cell lengths 6.4958, 6.4958, 6.6265 Å; angles 90.00, 90.00, 90.00 degrees
Fractional positions:
Sr1 0.0000 0.5000 0.0000
Sr2 0.5000 0.0000 0.0000
Tl1 0.0000 0.0000 0.0000
Ca1 0.5000 0.5000 0.5000
Ba1 0.0000 0.0000 0.5000


Which one is most stable, and which one is least stable? one is the most stable of them, while two is the least stable.


one | The following is a DFT calculation (PBE-GGA) of a relaxed structure of Ba2SrCaTl.

Properties
Crystal system = tetragonal

Cell lengths 6.7861, 6.7861, 6.1772 Å; angles 90.00, 90.00, 90.00 degrees
Fractional positions:
Sr1 0.5000 0.5000 0.5000
Tl1 0.0000 0.0000 0.0000
Ca1 0.0000 0.0000 0.5000
Ba1 0.0000 0.5000 0.0000
Ba2 0.5000 0.0000 0.0000


two | The following is a DFT calculation (PBE-GGA) of a relaxed structure of Ba2SrCaTl.

Properties
Crystal system = tetragonal

Cell lengths 6.7274, 6.7274, 6.5055 Å; angles 90.00, 90.00, 90.00 degrees
Fractional positions:
Sr1 0.0000 0.0000 0.5000
Tl1 0.0000 0.0000 0.0000
Ca1 0.5000 0.5000 0.5000
Ba1 0.0000 0.5000 0.0000
Ba2 0.5000 0.0000 0.0000


Which one is most stable, and which one is least stable? one is the most stable of them, while two is the least stable.


one | The following is a DFT calculation (PBE-GGA) of a relaxed structure of BaSr2CaZn.

Properties
Crystal system = tetragonal

Cell lengths 6.2748, 6.2748, 6.0531 Å; angles 90.00, 90.00, 90.00 degrees
Fractional positions:
Sr1 0.0000 0.5000 0.0000
Sr2 0.5000 0.0000 0.0000
Zn1 0.0000 0.0000 0.0000
Ca1 0.0000 0.0000 0.5000
Ba1 0.5000 0.5000 0.5000


two | The following is a DFT calculation (PBE-GGA) of a relaxed structure of BaSr2CaZn.

Properties
Crystal system = tetragonal

Cell lengths 6.2939, 6.2939, 6.3374 Å; angles 90.00, 90.00, 90.00 degrees
Fractional positions:
Sr1 0.0000 0.5000 0.0000
Sr2 0.5000 0.0000 0.0000
Zn1 0.0000 0.0000 0.0000
Ca1 0.5000 0.5000 0.5000
Ba1 0.0000 0.0000 0.5000


Which one is most stable, and which one is least stable? one is the most stable of them, while two is the least stable.


one | The following is a DFT calculation (PBE-GGA) of a relaxed structure of BaSrCa2Zn.

Properties
Crystal system = tetragonal

Cell lengths 6.0140, 6.0140, 6.1926 Å; angles 90.00, 90.00, 90.00 degrees
Fractional positions:
Sr1 0.0000 0.0000 0.5000
Zn1 0.0000 0.0000 0.0000
Ca1 0.0000 0.5000 0.0000
Ca2 0.5000 0.0000 0.0000
Ba1 0.5000 0.5000 0.5000


two | The following is a DFT calculation (PBE-GGA) of a relaxed structure of BaSrCa2Zn.

Properties
Crystal system = tetragonal

Cell lengths 6.0330, 6.0330, 6.2782 Å; angles 90.00, 90.00, 90.00 degrees
Fractional positions:
Sr1 0.5000 0.5000 0.5000
Zn1 0.0000 0.0000 0.0000
Ca1 0.0000 0.5000 0.0000
Ca2 0.5000 0.0000 0.0000
Ba1 0.0000 0.0000 0.5000


Which one is most stable, and which one is least stable? one is the most stable of them, while two is the least stable.


one | The following is a DFT calculation (PBE-GGA) of a relaxed structure of BaCa3Ta.

Properties
Crystal system = cubic

Cell lengths 5.6196, 5.6196, 5.6196 Å; angles 90.00, 90.00, 90.00 degrees
Fractional positions:
Ca1 0.0000 0.5000 0.0000
Ca2 0.0000 0.0000 0.5000
Ca3 0.5000 0.0000 0.0000
Ba1 0.0000 0.0000 0.0000
Ta1 0.5000 0.5000 0.5000


two | The following is a DFT calculation (PBE-GGA) of a relaxed structure of BaCa3Ta.

Properties
Crystal system = cubic

Cell lengths 5.8924, 5.8924, 5.8924 Å; angles 90.00, 90.00, 90.00 degrees
Fractional positions:
Ca1 0.0000 0.5000 0.0000
Ca2 0.0000 0.0000 0.5000
Ca3 0.5000 0.0000 0.0000
Ba1 0.5000 0.5000 0.5000
Ta1 0.0000 0.0000 0.0000


Which one is most stable, and which one is least stable? two is the most stable of them, while one is the least stable.


one | The following is a DFT calculation (PBE-GGA) of a relaxed structure of BaCaTa2.

Properties
Crystal system = tetragonal

Cell lengths 6.2280, 6.2280, 6.2280 Å; angles 139.69, 139.69, 58.32 degrees
Fractional positions:
Ca1 0.7500 0.2500 0.5000
Ba1 0.2500 0.7500 0.5000
Ta1 0.0000 0.0000 0.0000
Ta2 0.5000 0.5000 0.0000


two | The following is a DFT calculation (PBE-GGA) of a relaxed structure of BaCaTa2.

Properties
Crystal system = tetragonal

Cell lengths 5.4651, 4.2810, 4.2810 Å; angles 90.00, 90.00, 90.00 degrees
Fractional positions:
Ca1 0.5000 0.0000 0.5000
Ba1 0.5000 0.5000 0.0000
Ta1 0.0000 0.0000 0.0000
Ta2 0.0000 0.5000 0.5000


Which one is most stable, and which one is least stable? one is the most stable of them, while two is the least stable.


one | The following is a DFT calculation (PBE-GGA) of a relaxed structure of BaCaTa2.

Properties
Crystal system = trigonal

Cell lengths 12.0180, 12.0180, 12.0180 Å; angles 15.04, 15.04, 15.04 degrees
Fractional positions:
Ca1 0.7500 0.7500 0.7500
Ba1 0.2500 0.2500 0.2500
Ta1 0.0050 0.0050 0.0050
Ta2 0.4950 0.4950 0.4950


two | The following is a DFT calculation (PBE-GGA) of a relaxed structure of BaCaTa2.

Properties
Crystal system = monoclinic

Cell lengths 4.8623, 4.8623, 8.6443 Å; angles 87.10, 87.10, 39.59 degrees
Fractional positions:
Ca1 0.2614 0.2614 0.1662
Ba1 0.4959 0.4959 0.5622
Ta1 0.0056 0.0056 0.9225
Ta2 0.7370 0.7370 0.8491


three | The following is a DFT calculation (PBE-GGA) of a relaxed structure of BaCaTa2.

Properties
Crystal system = monoclinic

Cell lengths 6.3237, 6.3237, 3.0086 Å; angles 89.51, 89.51, 122.73 degrees
Fractional positions:
Ca1 0.0000 0.5000 0.5000
Ba1 0.5000 0.0000 0.5000
Ta1 0.0000 0.0000 0.0000
Ta2 0.5000 0.5000 0.0000


Which one is most stable, and which one is least stable? two is the most stable of them, while one is the least stable.